No. 1
# HfCuBi3, optimized geometry, DFT PBE-GGA
data_HfCuBi3
_chemical_formula_sum 'Hf1 Cu1 Bi3'
_space_group_name_H-M_alt 'P 1'
_space_group_IT_number 1
_cell_length_a 5.602
_cell_length_b 5.602
_cell_length_c 5.602
_cell_angle_alpha 90.00
_cell_angle_beta 90.00
_cell_angle_gamma 90.00
loop_
_space_group_symop_operation_xyz
'x,y,z'
loop_
_atom_site_label
_atom_site_type_symbol
_atom_site_fract_x
_atom_site_fract_y
_atom_site_fract_z
Hf1 Hf 0.000 0.000 0.000
Bi1 Bi 0.000 0.000 0.500
Bi2 Bi 0.500 0.000 0.000
Bi3 Bi 0.000 0.500 0.000
Cu1 Cu 0.500 0.500 0.500
# Space-group type: Pm-3m
# ΔE_f, meV/atom: 689
# D(E_F), states/eV/cell: 3.64
# Density, g/cm³: 8.2
# Total magnetization, μB/f.u.: 0.00

---

No. 2
# Ba3Sn2Sb4, optimized geometry, DFT PBE-GGA
data_Ba3Sn2Sb4
_chemical_formula_sum 'Ba6 Sn4 Sb8'
_space_group_name_H-M_alt 'P 1'
_space_group_IT_number 1
_cell_length_a 7.137
_cell_length_b 9.976
_cell_length_c 9.976
_cell_angle_alpha 80.13
_cell_angle_beta 92.74
_cell_angle_gamma 92.74
loop_
_space_group_symop_operation_xyz
'x,y,z'
loop_
_atom_site_label
_atom_site_type_symbol
_atom_site_fract_x
_atom_site_fract_y
_atom_site_fract_z
Sb1 Sb 0.092 0.253 0.433
Sb2 Sb 0.606 0.064 0.767
Sb3 Sb 0.908 0.747 0.567
Sb4 Sb 0.408 0.567 0.747
Ba1 Ba 0.750 0.393 0.607
Sn1 Sn 0.535 0.841 0.594
Sb5 Sb 0.592 0.433 0.253
Sn2 Sn 0.465 0.159 0.406
Sn3 Sn 0.965 0.406 0.159
Sb6 Sb 0.894 0.233 0.936
Ba2 Ba 0.250 0.607 0.393
Sn4 Sn 0.035 0.594 0.841
Ba3 Ba 0.597 0.740 0.003
Ba4 Ba 0.903 0.997 0.260
Ba5 Ba 0.403 0.260 0.997
Sb7 Sb 0.394 0.936 0.233
Ba6 Ba 0.097 0.003 0.740
Sb8 Sb 0.106 0.767 0.064
# Space-group type: C2/c
# E, Ry per atom: -0.294
# D(E_F), states/eV/cell: 5.91
# Density, g/cm³: 5.4
# Total magnetization, μB/f.u.: 0.00

---

No. 3
# Ce2CdRuAu, optimized geometry, DFT PBE-GGA
data_Ce2CdRuAu
_chemical_formula_sum 'Ce4 Cd2 Ru2 Au2'
_space_group_name_H-M_alt 'P 1'
_space_group_IT_number 1
_cell_length_a 4.441
_cell_length_b 8.544
_cell_length_c 6.637
_cell_angle_alpha 109.93
_cell_angle_beta 90.00
_cell_angle_gamma 90.00
loop_
_space_group_symop_operation_xyz
'x,y,z'
loop_
_atom_site_label
_atom_site_type_symbol
_atom_site_fract_x
_atom_site_fract_y
_atom_site_fract_z
Ru1 Ru 0.750 0.116 0.124
Cd1 Cd 0.250 0.687 0.388
Ce1 Ce 0.750 0.712 0.021
Ru2 Ru 0.250 0.884 0.876
Ce2 Ce 0.750 0.936 0.676
Au1 Au 0.750 0.467 0.291
Au2 Au 0.250 0.533 0.709
Cd2 Cd 0.750 0.313 0.612
Ce3 Ce 0.250 0.288 0.979
Ce4 Ce 0.250 0.064 0.324
# Space-group type: P2_1/m
# ΔE_f, meV/atom: -345
# D(E_F), states/eV/cell: 19.86
# Density, g/cm³: 9.7
# Total magnetization, μB/f.u.: 1.14

---

No. 4
# Sr3Mg2Zn2Hg4, optimized geometry, DFT PBE-GGA
data_Sr3Mg2Zn2Hg4
_chemical_formula_sum 'Sr3 Mg2 Zn2 Hg4'
_space_group_name_H-M_alt 'P 1'
_space_group_IT_number 1
_cell_length_a 4.814
_cell_length_b 4.814
_cell_length_c 15.639
_cell_angle_alpha 90.00
_cell_angle_beta 90.00
_cell_angle_gamma 120.00
loop_
_space_group_symop_operation_xyz
'x,y,z'
loop_
_atom_site_label
_atom_site_type_symbol
_atom_site_fract_x
_atom_site_fract_y
_atom_site_fract_z
Mg1 Mg 0.667 0.333 0.436
Mg2 Mg 0.333 0.667 0.564
Sr1 Sr 0.000 0.000 0.000
Hg1 Hg 0.667 0.333 0.619
Hg2 Hg 0.333 0.667 0.870
Hg3 Hg 0.667 0.333 0.130
Sr2 Sr 0.000 0.000 0.262
Zn1 Zn 0.333 0.667 0.134
Hg4 Hg 0.333 0.667 0.381
Sr3 Sr 0.000 0.000 0.738
Zn2 Zn 0.667 0.333 0.866
# Space-group type: P-3m1
# ΔE_f, meV/atom: -325
# D(E_F), states/eV/cell: 5.48
# Density, g/cm³: 6.6
# Total magnetization, μB/f.u.: 0.00

---

No. 5
# ErFePt6, optimized geometry, DFT PBE-GGA
data_ErFePt6
_chemical_formula_sum 'Er1 Fe1 Pt6'
_space_group_name_H-M_alt 'P 1'
_space_group_IT_number 1
_cell_length_a 4.020
_cell_length_b 4.020
_cell_length_c 8.004
_cell_angle_alpha 90.00
_cell_angle_beta 90.00
_cell_angle_gamma 90.00
loop_
_space_group_symop_operation_xyz
'x,y,z'
loop_
_atom_site_label
_atom_site_type_symbol
_atom_site_fract_x
_atom_site_fract_y
_atom_site_fract_z
Er1 Er 0.000 0.000 0.000
Pt1 Pt 0.000 0.500 0.735
Fe1 Fe 0.000 0.000 0.500
Pt2 Pt 0.500 0.500 0.000
Pt3 Pt 0.500 0.000 0.265
Pt4 Pt 0.500 0.500 0.500
Pt5 Pt 0.500 0.000 0.735
Pt6 Pt 0.000 0.500 0.265
# Space-group type: P4/mmm
# ΔE_f, meV/atom: -626
# D(E_F), states/eV/cell: 6.04
# Density, g/cm³: 17.9
# Total magnetization, μB/f.u.: 4.82

---

No. 6
# KCo3Cl, optimized geometry, DFT PBE-GGA
data_KCo3Cl
_chemical_formula_sum 'K1 Co3 Cl1'
_space_group_name_H-M_alt 'P 1'
_space_group_IT_number 1
_cell_length_a 4.923
_cell_length_b 4.923
_cell_length_c 4.923
_cell_angle_alpha 90.00
_cell_angle_beta 90.00
_cell_angle_gamma 90.00
loop_
_space_group_symop_operation_xyz
'x,y,z'
loop_
_atom_site_label
_atom_site_type_symbol
_atom_site_fract_x
_atom_site_fract_y
_atom_site_fract_z
Co1 Co 0.500 0.000 0.000
Co2 Co 0.000 0.000 0.500
Co3 Co 0.000 0.500 0.000
Cl1 Cl 0.500 0.500 0.500
K1 K 0.000 0.000 0.000
# Space-group type: Pm-3m
# E, Ry per atom: -0.182
# D(E_F), states/eV/cell: 16.09
# Density, g/cm³: 3.5
# Total magnetization, μB/f.u.: 5.09

---

No. 7
# YBrF3, optimized geometry, DFT PBE-GGA
data_YBrF3
_chemical_formula_sum 'Y1 Br1 F3'
_space_group_name_H-M_alt 'P 1'
_space_group_IT_number 1
_cell_length_a 4.476
_cell_length_b 4.476
_cell_length_c 4.476
_cell_angle_alpha 90.00
_cell_angle_beta 90.00
_cell_angle_gamma 90.00
loop_
_space_group_symop_operation_xyz
'x,y,z'
loop_
_atom_site_label
_atom_site_type_symbol
_atom_site_fract_x
_atom_site_fract_y
_atom_site_fract_z
F1 F 0.500 0.000 0.000
Y1 Y 0.000 0.000 0.000
F2 F 0.000 0.500 0.000
Br1 Br 0.500 0.500 0.500
F3 F 0.000 0.000 0.500
# Space-group type: Pm-3m
# E, Ry per atom: -0.418
# D(E_F), states/eV/cell: 8.29
# Density, g/cm³: 4.2
# Total magnetization, μB/f.u.: 1.00

---

No. 8
# NaSrLaSeO6, optimized geometry, DFT PBE-GGA
data_NaSrLaSeO6
_chemical_formula_sum 'Na1 Sr1 La1 Se1 O6'
_space_group_name_H-M_alt 'P 1'
_space_group_IT_number 1
_cell_length_a 5.859
_cell_length_b 5.859
_cell_length_c 5.859
_cell_angle_alpha 60.00
_cell_angle_beta 60.00
_cell_angle_gamma 60.00
loop_
_space_group_symop_operation_xyz
'x,y,z'
loop_
_atom_site_label
_atom_site_type_symbol
_atom_site_fract_x
_atom_site_fract_y
_atom_site_fract_z
O1 O 0.279 0.279 0.721
La1 La 0.000 0.000 0.000
Na1 Na 0.750 0.750 0.750
Se1 Se 0.500 0.500 0.500
O2 O 0.721 0.279 0.279
O3 O 0.721 0.721 0.279
O4 O 0.279 0.721 0.279
O5 O 0.721 0.279 0.721
O6 O 0.279 0.721 0.721
Sr1 Sr 0.250 0.250 0.250
# Space-group type: F-43m
# E, Ry per atom: -0.447
# D(E_F), states/eV/cell: 0.00
# Density, g/cm³: 5.0
# Total magnetization, μB/f.u.: 0.00